(1)
Material: TbSiSn2
Method: DFT, PBE-GGA
State: optimized geometry

Summary:
formation energy (no corrections) = -0.29 eV per atom
D(E_F) = 1.53 states/eV/cell
space group = No. 123

a = 4.7491 Å, b = 4.4561 Å, c = 4.4561 Å
α = 90.00°, β = 90.00°, γ = 90.00°
With the nearest neighbours (Å) after each atom.
Fractional coordinates of all 4 atoms:
Tb1 0.5000 0.0000 0.0000  4 Si 3.15, 8 Sn 3.26
Sn1 0.0000 0.0000 0.5000  4 Sn 3.15, 4 Si 3.26, 4 Tb 3.26
Sn2 0.0000 0.5000 0.0000  4 Sn 3.15, 4 Tb 3.26, 4 Si 3.26
Si1 0.5000 0.5000 0.5000  4 Tb 3.15, 8 Sn 3.26

=====

(2)
Material: Tb3SiSn2
Method: DFT, PBE-GGA
State: optimized geometry

Summary:
formation energy (no corrections) = -0.65 eV per atom
D(E_F) = 18.52 states/eV/cell
space group = No. 62

a = 4.2912 Å, b = 11.9174 Å, c = 12.3556 Å
α = 90.00°, β = 90.00°, γ = 90.00°
With the nearest neighbours (Å) after each atom.
Fractional coordinates of all 24 atoms:
Sn1 0.2500 0.7020 0.5017  2 Si 2.80, 3 Tb 3.05-3.10
Sn2 0.7500 0.2980 0.4983  2 Si 2.80, 3 Tb 3.05-3.10
Sn3 0.2500 0.7980 0.0017  2 Si 2.80, 3 Tb 3.05-3.10
Sn4 0.7500 0.2020 0.9983  2 Si 2.80, 3 Tb 3.05-3.10
Sn5 0.2500 0.0021 0.3089  1 Si 2.72
Sn6 0.2500 0.4979 0.8089  1 Si 2.72
Sn7 0.7500 0.5021 0.1911  1 Si 2.72
Sn8 0.7500 0.9979 0.6911  1 Si 2.72
Tb1 0.2500 0.4524 0.3860  3 Si 3.01-3.12, 5 Sn 3.15-3.30
Tb2 0.7500 0.6201 0.9450  5 Sn 3.09-3.35, 1 Si 3.12
Tb3 0.2500 0.0476 0.8860  3 Si 3.01-3.12, 5 Sn 3.15-3.30
Tb4 0.7500 0.2171 0.2638  2 Si 2.93, 2 Sn 3.05-3.28
Tb5 0.2500 0.3799 0.0550  5 Sn 3.09-3.35, 1 Si 3.12
Tb6 0.7500 0.8799 0.4450  5 Sn 3.09-3.35, 1 Si 3.12
Tb7 0.2500 0.1201 0.5550  5 Sn 3.09-3.35, 1 Si 3.12
Tb8 0.2500 0.7829 0.7362  2 Si 2.93, 2 Sn 3.05-3.28
Tb9 0.7500 0.2829 0.7638  2 Si 2.93, 2 Sn 3.05-3.28
Tb10 0.7500 0.5476 0.6140  3 Si 3.01-3.12, 5 Sn 3.15-3.30
Tb11 0.2500 0.7171 0.2362  2 Si 2.93, 2 Sn 3.05-3.28
Tb12 0.7500 0.9524 0.1140  3 Si 3.01-3.12, 5 Sn 3.15-3.30
Si1 0.2500 0.1289 0.1261  3 Sn 2.72-2.80, 4 Tb 2.93-3.01
Si2 0.2500 0.3711 0.6261  3 Sn 2.72-2.80, 4 Tb 2.93-3.01
Si3 0.7500 0.8711 0.8739  3 Sn 2.72-2.80, 4 Tb 2.93-3.01
Si4 0.7500 0.6289 0.3739  3 Sn 2.72-2.80, 4 Tb 2.93-3.01

=====

(3)
Material: SiTc3Sn
Method: DFT, PBE-GGA
State: optimized geometry

Summary:
formation energy (no corrections) = 2.24 eV per atom
D(E_F) = 7.68 states/eV/cell
offset from the most stable computed form = 1.648 eV/atom
space group = No. 221

a = 4.8397 Å, b = 4.8397 Å, c = 4.8397 Å
α = 90.00°, β = 90.00°, γ = 90.00°
With the nearest neighbours (Å) after each atom.
Fractional coordinates of all 5 atoms:
Tc1 0.0000 0.0000 0.5000  2 Sn 2.42
Tc2 0.0000 0.5000 0.0000  2 Sn 2.42
Tc3 0.5000 0.0000 0.0000  2 Sn 2.42
Si1 0.5000 0.5000 0.5000  12 Tc 3.42
Sn1 0.0000 0.0000 0.0000  6 Tc 2.42

=====

(4)
Material: SiTcSn3
Method: DFT, PBE-GGA
State: optimized geometry

Summary:
formation energy (no corrections) = 0.61 eV per atom
D(E_F) = 2.73 states/eV/cell
offset from the most stable computed form = 0.000 eV/atom
space group = No. 221

a = 5.1724 Å, b = 5.1724 Å, c = 5.1724 Å
α = 90.00°, β = 90.00°, γ = 90.00°
With the nearest neighbours (Å) after each atom.
Fractional coordinates of all 5 atoms:
Sn1 0.5000 0.0000 0.0000  2 Tc 2.59
Sn2 0.0000 0.5000 0.0000  2 Tc 2.59
Sn3 0.0000 0.0000 0.5000  2 Tc 2.59
Si1 0.5000 0.5000 0.5000  12 Sn 3.66
Tc1 0.0000 0.0000 0.0000  6 Sn 2.59

=====

(5)
Material: SiTc3Sn
Method: DFT, PBE-GGA
State: optimized geometry

Summary:
formation energy (no corrections) = 0.59 eV per atom
D(E_F) = 2.79 states/eV/cell
offset from the most stable computed form = 0.000 eV/atom
space group = No. 221

a = 4.4532 Å, b = 4.4532 Å, c = 4.4532 Å
α = 90.00°, β = 90.00°, γ = 90.00°
With the nearest neighbours (Å) after each atom.
Fractional coordinates of all 5 atoms:
Tc1 0.5000 0.0000 0.0000  2 Si 2.23
Tc2 0.0000 0.0000 0.5000  2 Si 2.23
Tc3 0.0000 0.5000 0.0000  2 Si 2.23
Si1 0.0000 0.0000 0.0000  6 Tc 2.23
Sn1 0.5000 0.5000 0.5000  12 Tc 3.15

=====

(6)
Material: SiTcSn3
Method: DFT, PBE-GGA
State: optimized geometry

Summary:
formation energy (no corrections) = 1.16 eV per atom
D(E_F) = 4.97 states/eV/cell
offset from the most stable computed form = 0.549 eV/atom
space group = No. 221

a = 5.1377 Å, b = 5.1377 Å, c = 5.1377 Å
α = 90.00°, β = 90.00°, γ = 90.00°
With the nearest neighbours (Å) after each atom.
Fractional coordinates of all 5 atoms:
Sn1 0.5000 0.0000 0.0000  2 Si 2.57
Sn2 0.0000 0.0000 0.5000  2 Si 2.57
Sn3 0.0000 0.5000 0.0000  2 Si 2.57
Tc1 0.5000 0.5000 0.5000  12 Sn 3.63
Si1 0.0000 0.0000 0.0000  6 Sn 2.57